Density functional theory data (PBE) for an optimized crystal structure of K2AgF4.

Cell and atoms, written as extended XYZ:
```
14
Lattice="6.8540 0.0000 0.0000 0.0000 6.1671 0.0000 -2.3319 0.0000 6.9535" Properties=species:S:1:pos:R:3 pbc="T T T"
K 1.0248 1.5418 0.3054
K 0.3700 1.5418 3.8288
K 4.1520 4.6253 3.1247
K 3.4972 4.6253 6.6481
Ag 0.1051 4.6253 5.6548
Ag 4.4170 1.5418 1.2987
F -1.4941 3.1998 5.2115
F -1.4941 6.0508 5.2115
F 1.1467 1.5418 6.3380
F 2.5864 1.5418 2.3904
F 1.9356 4.6253 4.5631
F 3.3753 4.6253 0.6155
F 6.0162 0.1163 1.7420
F 6.0162 2.9673 1.7420
```

Calculated values
energy relative to the elements, uncorrected: -1948 meV/atom
electronic total energy: -0.275 Ry/atom
calculated density: 3.0 g cm⁻³

=====

Density functional theory data (PBE) for an optimized crystal structure of K2Ag2F5.

Cell and atoms, written as extended XYZ:
```
9
Lattice="6.8530 -2.2142 0.0000 6.8530 2.2142 0.0000 -2.8382 0.0000 5.6744" Properties=species:S:1:pos:R:3 pbc="T T T"
K 0.8829 0.0000 1.6892
K 9.9849 0.0000 3.9851
Ag 5.0070 0.0000 1.1972
Ag 5.8608 0.0000 4.4772
F -1.0545 0.0000 4.6600
F 3.3368 0.0000 2.5648
F 6.8530 0.0000 0.0000
F 7.5310 0.0000 3.1095
F 11.9223 0.0000 1.0143
```

Calculated values
energy relative to the elements, uncorrected: -1868 meV/atom
electronic total energy: -0.278 Ry/atom
calculated density: 3.8 g cm⁻³

=====

Density functional theory data (PBE) for an optimized crystal structure of K2Ag2F5.

Cell and atoms, written as extended XYZ:
```
9
Lattice="4.4168 0.0000 0.0000 0.0000 4.4168 0.0000 0.0000 0.0000 8.3739" Properties=species:S:1:pos:R:3 pbc="T T T"
K 0.0000 0.0000 0.0000
K 0.0000 0.0000 4.1870
Ag 2.2084 2.2084 1.8220
Ag 2.2084 2.2084 6.5519
F 0.0000 2.2084 1.6755
F 0.0000 2.2084 6.6984
F 2.2084 0.0000 1.6755
F 2.2084 0.0000 6.6984
F 2.2084 2.2084 4.1870
```

Calculated values
energy relative to the elements, uncorrected: -1853 meV/atom
electronic total energy: -0.277 Ry/atom
calculated density: 4.0 g cm⁻³

=====

Density functional theory data (PBE) for an optimized crystal structure of K5Ag2F12.

Cell and atoms, written as extended XYZ:
```
19
Lattice="7.4001 -3.5033 0.0000 7.4001 3.5033 0.0000 -3.5648 0.0000 6.6815" Properties=species:S:1:pos:R:3 pbc="T T T"
K 0.0000 0.0000 0.0000
K 2.0566 0.0000 3.4994
K 4.0411 0.0000 0.1164
K 7.1943 0.0000 6.5651
K 9.1788 0.0000 3.1821
Ag 5.6177 1.7426 3.3407
Ag 5.6177 -1.7426 3.3407
F -1.0525 0.0000 2.2796
F 1.9472 1.8759 5.5417
F 3.9239 1.7441 2.2872
F 9.2882 1.8759 1.1398
F 7.3115 1.7441 4.3943
F 4.9123 0.0000 4.4732
F 6.3231 0.0000 2.2083
F 3.9239 -1.7441 2.2872
F 1.9472 -1.8759 5.5417
F 7.3115 -1.7441 4.3943
F 9.2882 -1.8759 1.1398
F 12.2879 0.0000 4.4018
```

Calculated values
energy relative to the elements, uncorrected: -1900 meV/atom
electronic total energy: -0.270 Ry/atom
calculated density: 3.1 g cm⁻³